No. 1
Entry from the Open Quantum Materials Database: La4PrIn5 after structural relaxation (PBE-GGA).

Properties
Uncorrected energy (eV per cell): -43.3
SG: P4/mmm, No. 123
V (Å³/atom): 30.49

The structure in CIF format:
```
data_La4PrIn5
_space_group_name_H-M_alt 'P 1'
_space_group_IT_number 1
_space_group_name_Hall 'P 1'
_cell_length_a 3.9331
_cell_length_b 3.9331
_cell_length_c 19.7123
_cell_angle_alpha 90.00
_cell_angle_beta 90.00
_cell_angle_gamma 90.00
loop_
_atom_site_label
_atom_site_fract_x
_atom_site_fract_y
_atom_site_fract_z
In1 0.5000 0.5000 0.5000
In2 0.5000 0.5000 0.0969
In3 0.5000 0.5000 0.7010
In4 0.5000 0.5000 0.2990
In5 0.5000 0.5000 0.9031
La1 0.0000 0.0000 0.8018
La2 0.0000 0.0000 0.1982
La3 0.0000 0.0000 0.6005
La4 0.0000 0.0000 0.3995
Pr1 0.0000 0.0000 0.0000
```

=====

No. 2
Entry from the Open Quantum Materials Database: TbGdFe2Si2C after structural relaxation (PBE-GGA).

Properties
Uncorrected energy (eV per cell): -50.7
SG: Cm, No. 8
V (Å³/atom): 15.63

The structure in CIF format:
```
data_TbGdFe2Si2C
_space_group_name_H-M_alt 'P 1'
_space_group_IT_number 1
_space_group_name_Hall 'P 1'
_cell_length_a 5.6593
_cell_length_b 5.6593
_cell_length_c 6.7922
_cell_angle_alpha 126.70
_cell_angle_beta 126.70
_cell_angle_gamma 40.76
loop_
_atom_site_label
_atom_site_fract_x
_atom_site_fract_y
_atom_site_fract_z
Si1 0.3369 0.3369 0.7805
Si2 0.6633 0.6633 0.2202
Gd1 0.0600 0.0600 0.7950
C1 0.4995 0.4995 0.4985
Tb1 0.9407 0.9407 0.2062
Fe1 0.2992 0.2992 0.4057
Fe2 0.7005 0.7005 0.5939
```

=====

No. 3
Entry from the Open Quantum Materials Database: FeSnTe3Au after structural relaxation (PBE-GGA).

Properties
Uncorrected energy (eV per cell): -50.5
SG: Cmcm, No. 63
V (Å³/atom): 25.46

The structure in CIF format:
```
data_FeSnTe3Au
_space_group_name_H-M_alt 'P 1'
_space_group_IT_number 1
_space_group_name_Hall 'P 1'
_cell_length_a 7.5436
_cell_length_b 7.5436
_cell_length_c 11.1616
_cell_angle_alpha 90.00
_cell_angle_beta 90.00
_cell_angle_gamma 151.25
loop_
_atom_site_label
_atom_site_fract_x
_atom_site_fract_y
_atom_site_fract_z
Sn1 0.8126 0.1874 0.7500
Sn2 0.1874 0.8126 0.2500
Fe1 0.5000 0.5000 0.5000
Fe2 0.5000 0.5000 0.0000
Te1 0.4889 0.5111 0.7500
Te2 0.1237 0.8763 0.5104
Te3 0.8763 0.1237 0.0104
Te4 0.5111 0.4889 0.2500
Te5 0.8763 0.1237 0.4896
Te6 0.1237 0.8763 0.9896
Au1 0.8322 0.1678 0.2500
Au2 0.1678 0.8322 0.7500
```

=====

No. 4
Entry from the Open Quantum Materials Database: LiTbCdTe3 after structural relaxation (PBE-GGA).

Properties
Uncorrected energy (eV per cell): -45.2
SG: P2_1/m, No. 11
V (Å³/atom): 32.44
E above lowest polymorph (eV/atom): 0.001

The structure in CIF format:
```
data_LiTbCdTe3
_space_group_name_H-M_alt 'P 1'
_space_group_IT_number 1
_space_group_name_Hall 'P 1'
_cell_length_a 8.3835
_cell_length_b 4.4038
_cell_length_c 10.8739
_cell_angle_alpha 90.00
_cell_angle_beta 104.15
_cell_angle_gamma 90.00
loop_
_atom_site_label
_atom_site_fract_x
_atom_site_fract_y
_atom_site_fract_z
Te1 0.5806 0.2500 0.8525
Te2 0.0603 0.2500 0.8578
Te3 0.4194 0.7500 0.1475
Te4 0.7315 0.2500 0.4511
Te5 0.9397 0.7500 0.1422
Te6 0.2685 0.7500 0.5489
Tb1 0.6754 0.2500 0.1481
Tb2 0.3246 0.7500 0.8519
Cd1 0.0793 0.2500 0.6009
Cd2 0.9207 0.7500 0.3991
Li1 0.1859 0.2500 0.1325
Li2 0.8141 0.7500 0.8675
```